Computed, not measured: a relaxed structure of CrIr2F at the PBE+U level of DFT.

Cell: 4.1707 4.1707 4.1707 Å, 60.00 60.00 60.00°
Fractional coordinates of all 4 atoms:
Ir1 0.7500 0.7500 0.7500
Ir2 0.2500 0.2500 0.2500
F1 0.0000 0.0000 0.0000
Cr1 0.5000 0.5000 0.5000

Results
- DFT total energy (eV/cell) = -24.164
- space group = Fm-3m